The following is a PBE calculation of a relaxed SrLi2In6 crystal, from the Alexandria database.

abc: 3.8020 8.5726 8.6120
angles: 119.85 102.75 90.00
Element x y z (fractional)
Sr (0.0000, 0.5000, 0.0000)
Li (0.8680, 0.8680, 0.7359)
Li (0.1320, 0.1320, 0.2641)
In (0.6831, 0.8599, 0.3663)
In (0.3169, 0.1401, 0.6337)
In (0.3169, 0.4936, 0.6337)
In (0.5000, 0.1681, 0.0000)
In (0.5000, 0.8319, 0.0000)
In (0.6831, 0.5064, 0.3663)

crystal system	orthorhombic
volume	235.4	Å³ per cell
total energy	-0.196	Ry/atom
ΔE_f	-223	meV per atom

=====

The following is a PBE calculation of a relaxed Dy2NiBr2 crystal, from the Alexandria database.

abc: 3.8866 3.8866 11.2077
angles: 80.02 80.02 60.00
Element x y z (fractional)
Dy (0.6186, 0.6186, 0.1442)
Dy (0.3814, 0.3814, 0.8558)
Ni (0.0000, 0.0000, 0.0000)
Br (0.2263, 0.2263, 0.3211)
Br (0.7737, 0.7737, 0.6789)

crystal system	trigonal
formation energy (no corrections)	-1.14	eV per atom
volume	143.6	Å³ per cell
total energy	-0.354	Ry/atom

=====

The following is a PBE calculation of a relaxed CaTcPt2 crystal, from the Alexandria database.

abc: 5.1218 5.1218 5.1218
angles: 133.35 133.35 68.10
Site moments in Bohr magnetons follow the coordinates.
Element x y z (fractional)
Ca (0.2500, 0.7500, 0.5000)  0.01
Tc (0.5000, 0.5000, 0.0000)  1.58
Pt (0.0000, 0.0000, 0.0000)  0.12
Pt (0.7500, 0.2500, 0.5000)  0.10

crystal system	tetragonal
energy above the most stable polymorph in this dataset	262	meV/atom
volume	69.8	Å³ per cell
total energy	-0.451	Ry/atom
ΔE_f	-30	meV per atom

=====

The following is a PBE calculation of a relaxed Ag2BBrN crystal, from the Alexandria database.

abc: 5.2558 3.8284 5.2558
angles: 90.00 90.00 90.00
Site moments in Bohr magnetons follow the coordinates.
Element x y z (fractional)
B (0.5000, 0.5000, 0.5000)  -0.04
Br (0.0000, 0.0000, 0.0000)  0.06
Ag (0.0000, 0.0000, 0.5000)  0.01
Ag (0.5000, 0.0000, 0.0000)  0.02
N (0.0000, 0.5000, 0.0000)  0.62

crystal system	tetragonal
formation energy (no corrections)	2.24	eV per atom
volume	105.8	Å³ per cell
total energy	-0.164	Ry/atom

=====

The following is a PBE calculation of a relaxed Sc3BiB crystal, from the Alexandria database.

abc: 25.4648 6.1655 9.7769
angles: 90.00 163.33 90.00
Element x y z (fractional)
Sc (0.2979, 0.9201, 0.9481)
Sc (0.7021, 0.0799, 0.0519)
Sc (0.2021, 0.4201, 0.5519)
Sc (0.7979, 0.5799, 0.4481)
Sc (0.3566, 0.4258, 0.2470)
Sc (0.6434, 0.5742, 0.7530)
Sc (0.1434, 0.9258, 0.2530)
Sc (0.8566, 0.0742, 0.7470)
Sc (0.4088, 0.8340, 0.5839)
Sc (0.5912, 0.1660, 0.4161)
Sc (0.0912, 0.3340, 0.9161)
Sc (0.9088, 0.6660, 0.0839)
B (0.5301, 0.7502, 0.6731)
B (0.4699, 0.2498, 0.3269)
B (0.9699, 0.2502, 0.8269)
B (0.0301, 0.7498, 0.1731)
Bi (0.0079, 0.1941, 0.3939)
Bi (0.9921, 0.8059, 0.6061)
Bi (0.4921, 0.6941, 0.1061)
Bi (0.5079, 0.3059, 0.8939)

crystal system	monoclinic
energy above the most stable polymorph in this dataset	185	meV/atom
volume	440.3	Å³ per cell
total energy	-0.462	Ry/atom
ΔE_f	-381	meV per atom

=====

The following is a PBE calculation of a relaxed Th2Mg3Hg4 crystal, from the Alexandria database.

abc: 4.8672 4.8681 11.0091
angles: 89.99 90.00 60.00
Element x y z (fractional)
Th (0.3332, 0.3336, 0.7815)
Th (0.6668, 0.6664, 0.2185)
Mg (0.3334, 0.3331, 0.4371)
Mg (0.0000, 0.0000, 0.0000)
Mg (0.6666, 0.6669, 0.5629)
Hg (0.6666, 0.6668, 0.9137)
Hg (0.0002, 0.9996, 0.3612)
Hg (0.9998, 0.0004, 0.6388)
Hg (0.3334, 0.3332, 0.0863)

crystal system	trigonal
energy above the most stable polymorph in this dataset	0	meV/atom
volume	225.9	Å³ per cell
total energy	-0.187	Ry/atom
ΔE_f	-230	meV per atom

=====

The following is a PBE calculation of a relaxed Ba13Ca2 crystal, from the Alexandria database.

abc: 8.1957 11.0526 11.0071
angles: 113.43 82.05 97.82
Element x y z (fractional)
Ca (0.9319, 0.7413, 0.6057)
Ca (0.0681, 0.2587, 0.3943)
Ba (0.6685, 0.6654, 0.0001)
Ba (0.3315, 0.3346, 0.9999)
Ba (0.0000, 0.0000, 0.0000)
Ba (0.2594, 0.0660, 0.5960)
Ba (0.7406, 0.9340, 0.4040)
Ba (0.1311, 0.5302, 0.7856)
Ba (0.8689, 0.4698, 0.2144)
Ba (0.3842, 0.5976, 0.4041)
Ba (0.6158, 0.4024, 0.5959)
Ba (0.4730, 0.8663, 0.7974)
Ba (0.5270, 0.1337, 0.2026)
Ba (0.7998, 0.2018, 0.8031)
Ba (0.2002, 0.7982, 0.1969)

crystal system	triclinic
volume	902.4	Å³ per cell
total energy	-0.141	Ry/atom
ΔE_f	14	meV per atom

=====

The following is a PBE calculation of a relaxed ZrAlSe crystal, from the Alexandria database.

abc: 3.4209 3.4209 6.1080
angles: 90.00 90.00 120.00
Element x y z (fractional)
Se (0.6667, 0.3333, 0.3433)
Zr (0.3333, 0.6667, 0.6483)
Al (0.0000, 0.0000, 0.0084)

crystal system	trigonal
energy above the most stable polymorph in this dataset	303	meV/atom
formation energy (no corrections)	-0.55	eV per atom
volume	61.9	Å³ per cell
total energy	-0.427	Ry/atom

=====

The following is a PBE calculation of a relaxed Ba4PtO5 crystal, from the Alexandria database.

abc: 7.6063 6.6414 6.6414
angles: 70.86 55.07 55.07
Element x y z (fractional)
Ba (0.4551, 0.4312, 0.8361)
Ba (0.8863, 0.8361, 0.5688)
Ba (0.2913, 0.1639, 0.4312)
Ba (0.7224, 0.5688, 0.1639)
Pt (0.9354, 0.0000, 0.0000)
O (0.8522, 0.3459, 0.8154)
O (0.1981, 0.8154, 0.6541)
O (0.6676, 0.1846, 0.3459)
O (0.0135, 0.6541, 0.1846)
O (0.4884, 0.0000, 0.0000)

crystal system	tetragonal
formation energy (no corrections)	-1.96	eV per atom
volume	225.5	Å³ per cell
total energy	-0.427	Ry/atom

=====

The following is a PBE calculation of a relaxed TlGaNiAs2 crystal, from the Alexandria database.

abc: 5.0359 4.5565 5.0359
angles: 90.00 90.00 90.00
Element x y z (fractional)
Ni (0.0000, 0.5000, 0.0000)
Tl (0.5000, 0.5000, 0.5000)
As (0.0000, 0.0000, 0.5000)
As (0.5000, 0.0000, 0.0000)
Ga (0.0000, 0.0000, 0.0000)

crystal system	tetragonal
volume	115.6	Å³ per cell
total energy	-0.258	Ry/atom
ΔE_f	581	meV per atom

=====

The following is a PBE calculation of a relaxed ZrCd2As crystal, from the Alexandria database.

abc: 3.0747 3.0747 9.2575
angles: 90.00 90.00 90.00
Element x y z (fractional)
As (0.5000, 0.5000, 0.7197)
Zr (0.0000, 0.0000, 0.5082)
Cd (0.0000, 0.0000, 0.0136)
Cd (0.5000, 0.5000, 0.2585)

crystal system	tetragonal
volume	87.5	Å³ per cell
total energy	-0.286	Ry/atom
ΔE_f	-133	meV per atom

=====

The following is a PBE calculation of a relaxed Dy2Zn3Cu12Ag crystal, from the Alexandria database.

abc: 9.4874 9.4874 9.4874
angles: 38.92 38.92 38.92
Element x y z (fractional)
Dy (0.6404, 0.6404, 0.6404)
Dy (0.3596, 0.3596, 0.3596)
Zn (0.5000, 0.0000, 0.0000)
Zn (0.0000, 0.5000, 0.0000)
Zn (0.0000, 0.0000, 0.5000)
Cu (0.4180, 0.4180, 0.7969)
Cu (0.8734, 0.8734, 0.4514)
Cu (0.4514, 0.8734, 0.8734)
Cu (0.7969, 0.4180, 0.4180)
Cu (0.8734, 0.4514, 0.8734)
Cu (0.4180, 0.7969, 0.4180)
Cu (0.5820, 0.5820, 0.2031)
Cu (0.1266, 0.1266, 0.5486)
Cu (0.5486, 0.1266, 0.1266)
Cu (0.2031, 0.5820, 0.5820)
Cu (0.1266, 0.5486, 0.1266)
Cu (0.5820, 0.2031, 0.5820)
Ag (0.0000, 0.0000, 0.0000)

crystal system	trigonal
volume	303.1	Å³ per cell
total energy	-0.256	Ry/atom
ΔE_f	125	meV per atom

=====

The following is a PBE calculation of a relaxed MnNi2Mo crystal, from the Alexandria database.

abc: 4.1609 2.6103 4.5410
angles: 90.02 90.00 90.00
Site moments in Bohr magnetons follow the coordinates.
Element x y z (fractional)
Mn (0.0000, 0.6256, 0.4543)  2.15
Mo (0.5000, 0.6249, 0.7898)  -0.36
Ni (0.0000, 0.1248, 0.9698)  0.09
Ni (0.5000, 0.1247, 0.2861)  0.13

crystal system	orthorhombic
energy above the most stable polymorph in this dataset	68	meV/atom
volume	49.3	Å³ per cell
total energy	-0.578	Ry/atom
ΔE_f	30	meV per atom

=====

The following is a PBE calculation of a relaxed Tm2Cd3Ni2 crystal, from the Alexandria database.

abc: 3.8628 5.3455 7.4030
angles: 96.32 90.00 111.18
Element x y z (fractional)
Tm (0.6236, 0.2472, 0.3640)
Tm (0.3764, 0.7528, 0.6360)
Cd (0.3081, 0.6163, 0.1462)
Cd (0.0000, 0.0000, 0.0000)
Cd (0.6919, 0.3837, 0.8538)
Ni (0.0828, 0.1657, 0.6323)
Ni (0.9172, 0.8343, 0.3677)

crystal system	monoclinic
energy above the most stable polymorph in this dataset	38	meV/atom
volume	141.5	Å³ per cell
total energy	-0.269	Ry/atom
ΔE_f	-340	meV per atom

=====

The following is a PBE calculation of a relaxed LiNiOsRh crystal, from the Alexandria database.

abc: 4.1871 4.1871 4.1871
angles: 60.00 60.00 60.00
Site moments in Bohr magnetons follow the coordinates.
Element x y z (fractional)
Rh (0.5000, 0.5000, 0.5000)  0.00
Li (0.2500, 0.2500, 0.2500)  0.00
Os (0.7500, 0.7500, 0.7500)  0.03
Ni (0.0000, 0.0000, 0.0000)  0.07

crystal system	cubic
volume	51.9	Å³ per cell
total energy	-0.469	Ry/atom
ΔE_f	186	meV per atom

=====

The following is a PBE calculation of a relaxed ScGaO3 crystal, from the Alexandria database.

abc: 5.4372 6.7400 6.7400
angles: 85.97 82.60 82.60
Element x y z (fractional)
Sc (0.2500, 0.9031, 0.0969)
Sc (0.7500, 0.0969, 0.9031)
Sc (0.2500, 0.2811, 0.7189)
Sc (0.7500, 0.7189, 0.2811)
Ga (0.6993, 0.6029, 0.7876)
Ga (0.8007, 0.2124, 0.3971)
Ga (0.3007, 0.3971, 0.2124)
Ga (0.1993, 0.7876, 0.6029)
O (0.6243, 0.7973, 0.9810)
O (0.8757, 0.0190, 0.2027)
O (0.3757, 0.2027, 0.0190)
O (0.1243, 0.9810, 0.7973)
O (0.8879, 0.3675, 0.8572)
O (0.6121, 0.1428, 0.6325)
O (0.1121, 0.6325, 0.1428)
O (0.3879, 0.8572, 0.3675)
O (0.3865, 0.5619, 0.7145)
O (0.1135, 0.2855, 0.4381)
O (0.6135, 0.4381, 0.2855)
O (0.8865, 0.7145, 0.5619)

crystal system	monoclinic
formation energy (no corrections)	-2.70	eV per atom
volume	242.5	Å³ per cell
total energy	-0.555	Ry/atom

=====

The following is a PBE calculation of a relaxed ThCuSi2Pt2 crystal, from the Alexandria database.

abc: 4.2084 4.2084 6.8405
angles: 90.00 90.00 120.00
Element x y z (fractional)
Th (0.0000, 0.0000, 0.0000)
Cu (0.0000, 0.0000, 0.5000)
Si (0.6667, 0.3333, 0.7064)
Si (0.3333, 0.6667, 0.2936)
Pt (0.6667, 0.3333, 0.3223)
Pt (0.3333, 0.6667, 0.6777)

crystal system	trigonal
formation energy (no corrections)	-0.83	eV per atom
volume	104.9	Å³ per cell
total energy	-0.483	Ry/atom

=====

The following is a PBE calculation of a relaxed YTeCl2 crystal, from the Alexandria database.

abc: 4.5539 4.5539 4.7889
angles: 90.00 90.00 90.00
Site moments in Bohr magnetons follow the coordinates.
Element x y z (fractional)
Y (0.0000, 0.5000, 0.5000)  0.01
Te (0.5000, 0.0000, 0.5000)  0.20
Cl (0.0000, 0.0000, 0.0000)  0.05
Cl (0.5000, 0.5000, 0.0000)  0.05

crystal system	tetragonal
energy above the most stable polymorph in this dataset	618	meV/atom
formation energy (no corrections)	-0.99	eV per atom
volume	99.3	Å³ per cell
total energy	-0.317	Ry/atom

=====

The following is a PBE calculation of a relaxed CeTmBr6 crystal, from the Alexandria database.

abc: 7.1526 7.1523 7.7244
angles: 62.41 62.41 60.00
Site moments in Bohr magnetons follow the coordinates.
Element x y z (fractional)
Ce (0.0000, 0.0000, 0.0000)  0.99
Tm (0.5000, 0.5000, 0.5000)  0.00
Br (0.1030, 0.4131, 0.7429)  -0.01
Br (0.7407, 0.1030, 0.7432)  -0.01
Br (0.5870, 0.2592, 0.2570)  -0.01
Br (0.2593, 0.8970, 0.2568)  -0.01
Br (0.8970, 0.5869, 0.2571)  -0.01
Br (0.4130, 0.7408, 0.7430)  -0.01

crystal system	trigonal
energy above the most stable polymorph in this dataset	15	meV/atom
formation energy (no corrections)	-1.79	eV per atom
volume	289.2	Å³ per cell
total energy	-0.319	Ry/atom

=====

The following is a PBE calculation of a relaxed MoPb crystal, from the Alexandria database.

abc: 6.3713 6.3713 6.3713
angles: 90.00 90.00 90.00
Site moments in Bohr magnetons follow the coordinates.
Element x y z (fractional)
Mo (0.2500, 0.2500, 0.2500)  1.98
Mo (0.2500, 0.7500, 0.7500)  1.98
Mo (0.7500, 0.2500, 0.7500)  1.98
Mo (0.7500, 0.7500, 0.2500)  1.98
Pb (0.0000, 0.0000, 0.0000)  -0.13
Pb (0.0000, 0.5000, 0.5000)  -0.13
Pb (0.5000, 0.0000, 0.5000)  -0.13
Pb (0.5000, 0.5000, 0.0000)  -0.13

crystal system	cubic
energy above the most stable polymorph in this dataset	1532	meV/atom
volume	258.6	Å³ per cell
total energy	-0.398	Ry/atom
ΔE_f	1857	meV per atom